Material: PuCuMoO6
Method: DFT, PBE+U
State: optimized geometry

```
PuCuMoO6
1.0
5.398 0.000 0.000
-2.699 4.675 0.000
0.000 0.000 8.942
Pu Cu Mo O
2 2 2 12
Cartesian
0.000 3.117 2.235
2.699 1.558 6.706
0.000 0.000 0.000
0.000 0.000 4.471
0.000 3.117 6.706
2.699 1.558 2.235
-0.855 1.677 5.645
-1.674 3.096 7.767
0.855 1.677 7.767
-0.819 4.577 5.645
1.880 0.098 1.174
1.025 1.579 3.297
1.674 3.096 5.645
0.819 4.577 7.767
3.518 0.098 3.297
1.844 2.998 1.174
4.373 1.579 1.174
3.554 2.998 3.297
```

Values from the calculation:
For the density of states at the Fermi level, the calculation gives 13.07 states/eV per cell.


Material: RbCuMo2O8
Method: DFT, PBE+U
State: optimized geometry

```
RbCuMo2O8
1.0
5.996 -2.742 0.000
5.996 2.742 0.000
-3.934 0.000 6.819
Rb Cu Mo O
1 1 2 8
Cartesian
0.000 0.000 0.000
4.029 0.000 3.410
-0.301 0.000 4.401
8.359 0.000 2.418
3.493 1.277 2.204
0.536 0.000 2.859
0.850 0.000 5.714
4.565 1.277 4.615
3.493 -1.277 2.204
7.208 0.000 1.105
7.522 0.000 3.960
4.565 -1.277 4.615
```


Material: RbCuMoO4
Method: DFT, PBE+U
State: optimized geometry

```
RbCuMoO4
1.0
5.967 0.000 0.000
0.000 6.105 0.000
-1.497 0.000 7.611
Rb Cu Mo O
2 2 2 8
Cartesian
0.356 1.526 0.952
4.115 4.579 6.659
1.253 4.579 5.128
3.217 1.526 2.484
1.391 1.526 5.382
3.079 4.579 2.229
0.408 0.063 5.884
0.408 2.989 5.884
1.531 4.579 1.366
1.659 1.526 3.578
2.812 4.579 4.034
2.940 1.526 6.245
4.062 3.116 1.727
4.062 6.042 1.727
```

Values from the calculation:
For the density of states at the Fermi level, the calculation gives 0.00 states/eV per cell.


Material: Rb2CuMoO4
Method: DFT, PBE+U
State: optimized geometry

```
Rb2CuMoO4
1.0
-3.078 3.078 3.834
3.078 -3.078 3.834
3.078 3.078 -3.834
Rb Cu Mo O
2 1 1 4
Cartesian
0.000 0.000 0.000
0.000 3.078 1.917
0.000 0.000 3.834
3.078 0.000 1.917
1.622 -0.783 2.825
2.296 1.456 1.009
1.456 3.861 -1.009
0.783 1.622 4.843
```


Material: Rb2Cu2MoO6
Method: DFT, PBE+U
State: optimized geometry

```
Rb2Cu2MoO6
1.0
2.951 1.704 5.848
-2.951 1.704 5.848
0.000 -3.408 5.848
Rb Cu Mo O
2 2 1 6
Cartesian
0.000 0.000 3.759
0.000 0.000 13.783
0.000 0.000 7.039
0.000 0.000 10.504
0.000 0.000 0.000
0.000 -1.845 7.021
-1.598 0.922 7.021
-1.598 -0.922 10.522
1.598 0.922 7.021
1.598 -0.922 10.522
0.000 1.845 10.522
```

Values from the calculation:
For the density of states at the Fermi level, the calculation gives 3.01 states/eV per cell.


Material: Rb3CuMo2O8
Method: DFT, PBE+U
State: optimized geometry

```
Rb3CuMo2O8
1.0
6.089 0.000 0.000
-3.044 5.273 0.000
0.000 0.000 7.921
Rb Cu Mo O
3 1 2 8
Cartesian
0.000 0.000 0.000
0.000 3.515 5.282
3.044 1.758 2.639
0.000 0.000 3.960
0.000 3.515 1.891
3.044 1.758 6.030
0.000 1.819 2.538
-1.469 4.364 2.538
0.000 3.515 0.107
1.575 0.909 5.383
1.469 4.364 2.538
3.044 1.758 7.814
4.514 0.909 5.383
3.044 3.454 5.383
```

Values from the calculation:
For the density of states at the Fermi level, the calculation gives 0.00 states/eV per cell.


Material: CuMoRhO6
Method: DFT, PBE+U
State: optimized geometry

```
CuMoRhO6
1.0
5.016 0.000 0.000
-2.508 4.344 0.000
0.000 0.000 9.068
Cu Mo Rh O
2 2 2 12
Cartesian
0.000 0.000 0.000
0.000 0.000 4.534
0.000 2.896 2.267
2.508 1.448 6.801
0.000 2.896 6.801
2.508 1.448 2.267
-0.818 1.507 1.161
-1.613 2.882 3.373
0.818 1.507 3.373
-0.794 4.300 1.161
1.714 0.045 5.695
0.896 1.462 7.907
1.613 2.882 1.161
0.794 4.300 3.373
3.302 0.045 7.907
1.690 2.838 5.695
4.121 1.462 5.695
3.327 2.838 7.907
```

Values from the calculation:
For the density of states at the Fermi level, the calculation gives 13.01 states/eV per cell.


Material: Cu2MoRhO
Method: DFT, PBE+U
State: optimized geometry

```
Cu2MoRhO
1.0
4.883 0.000 0.000
0.000 4.883 0.000
0.000 0.000 3.657
Cu Mo Rh O
2 1 1 1
Cartesian
0.000 2.441 0.000
2.441 0.000 0.000
0.000 0.000 1.828
2.441 2.441 0.000
2.441 2.441 1.828
```

Values from the calculation:
For the density of states at the Fermi level, the calculation gives 2.35 states/eV per cell.


Material: CuMoSO
Method: DFT, PBE+U
State: optimized geometry

```
CuMoSO
1.0
6.848 -1.592 0.000
6.848 1.592 0.000
-0.701 0.000 5.383
Cu Mo S O
2 2 2 2
Cartesian
0.000 0.000 0.000
6.560 0.000 2.950
3.287 0.000 3.929
10.417 0.000 1.657
2.217 0.000 0.382
8.621 0.000 3.129
4.817 0.000 2.484
11.083 0.000 5.179
```

Values from the calculation:
For the density of states at the Fermi level, the calculation gives 0.85 states/eV per cell.


Material: CuMoSO
Method: DFT, PBE+U
State: optimized geometry

```
CuMoSO
1.0
3.779 0.000 0.000
0.000 3.779 0.000
0.000 0.000 8.034
Cu Mo S O
2 2 2 2
Cartesian
0.945 2.834 0.000
2.834 0.945 0.000
0.945 0.945 2.983
2.834 2.834 5.051
0.945 0.945 6.576
2.834 2.834 1.458
0.945 2.834 4.017
2.834 0.945 4.017
```

Values from the calculation:
For the density of states at the Fermi level, the calculation gives 3.09 states/eV per cell.


Material: CuMoSO
Method: DFT, PBE+U
State: optimized geometry

```
CuMoSO
1.0
3.483 0.000 0.000
0.165 5.857 0.000
1.729 2.180 5.641
Cu Mo S O
2 2 2 2
Cartesian
0.000 0.000 0.000
1.614 2.720 3.142
3.463 5.660 3.671
3.418 2.812 0.960
1.699 4.663 1.951
3.435 3.656 5.339
1.722 6.234 4.817
3.352 1.680 2.755
```

Values from the calculation:
For the density of states at the Fermi level, the calculation gives 0.00 states/eV per cell.


Material: CuMoSO
Method: DFT, PBE+U
State: optimized geometry

```
CuMoSO
1.0
3.444 0.000 0.000
-0.021 5.879 0.000
-0.353 -1.249 6.102
Cu Mo S O
2 2 2 2
Cartesian
0.000 0.000 0.000
0.649 2.941 0.213
1.220 0.842 2.878
2.946 3.871 2.955
1.221 4.860 4.557
2.939 1.844 4.369
1.218 2.893 1.969
2.961 -0.078 1.860
```

Values from the calculation:
For the density of states at the Fermi level, the calculation gives 0.00 states/eV per cell.


Calculated total energy readings, ordered: -7.853; -6.288; -6.000; -5.467; -5.487; -5.956; -6.287; -4.893; -5.500; -5.511; -5.663; -5.649 eV per atom